Entry 1:
This record from Alexandria via LeMat-Bulk describes a relaxed SmPu3 crystal. The functional is PBE-GGA.

Lattice parameters (Å, degrees): 6.546 6.546 6.546 147.90 128.80 61.73
Element x y z (fractional)
Sm: 0.000 0.000 0.000
Pu: 0.265 0.765 0.500
Pu: 0.500 0.500 0.000
Pu: 0.735 0.235 0.500

Output
* DFT formation energy: 296 meV per atom
* offset from the most stable computed form: 17 meV per atom
* final energy: -11.633 eV/atom
* space group: Immm, No. 71

Entry 2:
This record from Alexandria via LeMat-Bulk describes a relaxed SmPu crystal. The functional is PBE-GGA.

Lattice parameters (Å, degrees): 3.509 3.509 5.787 90.00 90.00 120.00
Element x y z (fractional)
Sm: 0.000 0.000 0.000
Pu: 0.333 0.667 0.500

Output
* DFT formation energy: 226 meV per atom
* final energy: -9.300 eV/atom
* space group: P-6m2, No. 187

Entry 3:
This record from Alexandria via LeMat-Bulk describes a relaxed SmPu crystal. The functional is PBE-GGA.

Lattice parameters (Å, degrees): 3.227 3.571 9.013 90.00 92.33 90.00
Element x y z (fractional)
Sm: 0.245 0.250 0.342
Sm: 0.755 0.750 0.658
Pu: 0.355 0.250 0.935
Pu: 0.645 0.750 0.065

Output
* DFT formation energy: 226 meV per atom
* final energy: -9.299 eV/atom
* space group: P2_1/m, No. 11

Entry 4:
This record from Alexandria via LeMat-Bulk describes a relaxed Sm2Pu crystal. The functional is PBE-GGA.

Lattice parameters (Å, degrees): 7.943 7.943 7.943 154.17 154.17 36.86
Element x y z (fractional)
Sm: 0.163 0.163 0.000
Sm: 0.837 0.837 0.000
Pu: 0.500 0.500 0.000

Output
* DFT formation energy: 125 meV per atom
* final energy: -7.798 eV/atom
* space group: I4/mmm, No. 139

Entry 5:
This record from Alexandria via LeMat-Bulk describes a relaxed Sm2PuSn3 crystal. The functional is PBE-GGA.

Lattice parameters (Å, degrees): 6.833 6.833 6.833 134.54 124.86 74.16
Element x y z (fractional)
Sm: 0.171 0.171 0.000
Sm: 0.829 0.829 0.000
Pu: 0.500 0.500 0.000
Sn: 0.000 0.500 0.500
Sn: 0.338 0.838 0.500
Sn: 0.662 0.162 0.500

Output
* DFT formation energy: -411 meV per atom
* final energy: -6.374 eV/atom
* space group: Immm, No. 71

Entry 6:
This record from Alexandria via LeMat-Bulk describes a relaxed Sm3PuSn12 crystal. The functional is PBE-GGA.

Lattice parameters (Å, degrees): 4.727 4.727 18.890 90.00 90.00 90.00
Element x y z (fractional)
Sm: 0.000 0.000 0.000
Sm: 0.000 0.000 0.254
Sm: 0.000 0.000 0.746
Pu: 0.000 0.000 0.500
Sn: 0.000 0.500 0.126
Sn: 0.000 0.500 0.378
Sn: 0.000 0.500 0.622
Sn: 0.000 0.500 0.874
Sn: 0.500 0.000 0.126
Sn: 0.500 0.000 0.378
Sn: 0.500 0.000 0.622
Sn: 0.500 0.000 0.874
Sn: 0.500 0.500 0.000
Sn: 0.500 0.500 0.252
Sn: 0.500 0.500 0.500
Sn: 0.500 0.500 0.748

Output
* DFT formation energy: -454 meV per atom
* final energy: -5.236 eV/atom
* space group: P4/mmm, No. 123

Entry 7:
This record from Alexandria via LeMat-Bulk describes a relaxed SmPu2Sn crystal. The functional is PBE-GGA.

Lattice parameters (Å, degrees): 5.394 5.394 5.394 60.00 60.00 60.00
Element x y z (fractional)
Sm: 0.000 0.000 0.000
Pu: 0.250 0.250 0.250
Pu: 0.750 0.750 0.750
Sn: 0.500 0.500 0.500

Output
* DFT formation energy: -2 meV per atom
* offset from the most stable computed form: 291 meV per atom
* final energy: -9.349 eV/atom
* space group: Fm-3m, No. 225

Entry 8:
This record from Alexandria via LeMat-Bulk describes a relaxed SmPu2Sn crystal. The functional is PBE-GGA.

Lattice parameters (Å, degrees): 4.604 4.604 5.136 90.00 90.00 90.00
Element x y z (fractional)
Sm: 0.000 0.000 0.000
Pu: 0.000 0.500 0.500
Pu: 0.500 0.000 0.500
Sn: 0.500 0.500 0.000

Output
* DFT formation energy: -293 meV per atom
* offset from the most stable computed form: 0 meV per atom
* final energy: -9.640 eV/atom
* space group: P4/mmm, No. 123